No. 1
A geometry-optimized SmDyYEr structure. Source: Alexandria via LeMat-Bulk, functional GGA-PBE.

a = 5.684 Å, b = 5.684 Å, c = 5.684 Å
α = 60.00°, β = 60.00°, γ = 60.00°
Element x y z (fractional)
Sm1 0.000 0.000 0.000
Dy1 0.500 0.500 0.500
Y1 0.750 0.750 0.750
Er1 0.250 0.250 0.250

Results
total DFT energy (no corrections) = -19.8 eV for the cell shown
ΔE_f = 0.1307 eV/atom

---

No. 2
A geometry-optimized SmDy3Y6Er2 structure. Source: Alexandria via LeMat-Bulk, functional GGA-PBE.

a = 6.159 Å, b = 6.159 Å, c = 11.795 Å
α = 94.97°, β = 94.97°, γ = 119.94°
Element x y z (fractional)
Sm1 0.000 0.000 0.000
Dy1 0.167 0.833 0.500
Dy2 0.500 0.500 0.500
Dy3 0.833 0.167 0.500
Y1 0.084 0.418 0.250
Y2 0.250 0.250 0.750
Y3 0.418 0.084 0.250
Y4 0.582 0.916 0.750
Y5 0.750 0.750 0.250
Y6 0.916 0.582 0.750
Er1 0.333 0.667 0.000
Er2 0.667 0.333 0.000

Results
total DFT energy (no corrections) = -66.2 eV for the cell shown
ΔE_f = 0.0213 eV/atom

---

No. 3
A geometry-optimized Sm4DyY2Er2 structure. Source: Alexandria via LeMat-Bulk, functional GGA-PBE.

a = 9.466 Å, b = 9.466 Å, c = 8.781 Å
α = 90.05°, β = 90.05°, γ = 21.78°
Element x y z (fractional)
Sm1 0.056 0.056 0.170
Sm2 0.278 0.278 0.831
Sm3 0.722 0.722 0.169
Sm4 0.944 0.944 0.830
Dy1 0.500 0.500 0.500
Y1 0.389 0.389 0.170
Y2 0.611 0.611 0.830
Er1 0.167 0.167 0.499
Er2 0.833 0.833 0.501

Results
total DFT energy (no corrections) = -45.4 eV for the cell shown
ΔE_f = 0.0186 eV/atom

---

total DFT energy (no corrections) of number 2 (SmDy3Y6Er2)? -66.2 eV for the cell shown